1.
BiSe: optimized geometry, PBE.

a b c (Å): 4.2610 4.2610 24.1432
angles (deg): 90.00 90.00 120.00
Last column: nearest neighbours and their distance in Å.
Element x y z (fractional)
Bi (0.0000, 0.0000, 0.1295)  6 Se 2.89-3.13
Bi (0.0000, 0.0000, 0.8705)  6 Se 2.89-3.13
Bi (0.3333, 0.6667, 0.2870)  6 Se 2.91-3.09
Bi (0.3333, 0.6667, 0.5370)  3 Bi 3.04
Bi (0.6667, 0.3333, 0.4630)  3 Bi 3.04
Bi (0.6667, 0.3333, 0.7130)  6 Se 2.91-3.09
Se (0.0000, 0.0000, 0.3517)  3 Bi 2.91
Se (0.0000, 0.0000, 0.6483)  3 Bi 2.91
Se (0.3333, 0.6667, 0.0668)  3 Bi 2.89
Se (0.3333, 0.6667, 0.7906)  6 Bi 3.09-3.13
Se (0.6667, 0.3333, 0.2094)  6 Bi 3.09-3.13
Se (0.6667, 0.3333, 0.9332)  3 Bi 2.89

Results
Space-group type = P-3m1 (164)
Raw total energy = -0.2945 Ry/atom
Polymorph energy (0 for the lowest one) = 0.00 kcal/mol of atoms
V = 380 Å³/cell
Energy relative to the elements, uncorrected = -0.6 eV/f.u.
Total moment = 0.00 μB per atom

---

2.
CeSm2Pu3Se6: optimized geometry, PBE.

a b c (Å): 9.3175 9.3175 8.3542
angles (deg): 103.31 103.31 25.73
Last column: nearest neighbours and their distance in Å.
Element x y z (fractional)
Ce (0.0000, 0.0000, 0.0000)  6 Se 2.97
Sm (0.3335, 0.3335, 0.6668)  6 Se 2.95-2.96
Sm (0.6665, 0.6665, 0.3332)  6 Se 2.95-2.96
Pu (0.0000, 0.0000, 0.5000)  6 Se 2.92-2.93
Pu (0.3336, 0.3336, 0.1663)  6 Se 2.92-2.93
Pu (0.6664, 0.6664, 0.8337)  6 Se 2.92-2.93
Se (0.1662, 0.1662, 0.5855)  3 Pu 2.93, 3 Sm 2.95-2.96
Se (0.1681, 0.1681, 0.0823)  3 Pu 2.92-2.93, 2 Sm 2.95, 1 Ce 2.97
Se (0.4993, 0.4993, 0.2537)  3 Pu 2.92-2.93, 1 Sm 2.95, 2 Ce 2.97
Se (0.5007, 0.5007, 0.7463)  3 Pu 2.92-2.93, 1 Sm 2.95, 2 Ce 2.97
Se (0.8319, 0.8319, 0.9177)  3 Pu 2.92-2.93, 2 Sm 2.95, 1 Ce 2.97
Se (0.8338, 0.8338, 0.4145)  3 Pu 2.93, 3 Sm 2.95-2.96

Results
Space-group type = C2/m (12)
Raw total energy = -0.6096 Ry/atom
V = 306 Å³/cell
Energy relative to the elements, uncorrected = -20.3 eV/f.u.
Total moment = 1.42 μB per atom

---

3.
TlReRh3: optimized geometry, PBE.

a b c (Å): 4.7540 4.7540 4.7540
angles (deg): 90.00 90.00 90.00
Last column: nearest neighbours and their distance in Å.
Element x y z (fractional)
Tl (0.0000, 0.0000, 0.0000)  12 Rh 3.36
Re (0.5000, 0.5000, 0.5000)  6 Rh 2.38
Rh (0.0000, 0.5000, 0.5000)  2 Re 2.38
Rh (0.5000, 0.0000, 0.5000)  2 Re 2.38
Rh (0.5000, 0.5000, 0.0000)  2 Re 2.38

Results
Space-group type = Pm-3m (221)
Raw total energy = -0.4687 Ry/atom
E_form = 0.996 eV per atom
Polymorph energy (0 for the lowest one) = 0.00 kcal/mol of atoms
V = 107 Å³/cell
Total moment = 0.00 μB per atom

---

4.
AlSb2Ir: optimized geometry, PBE.

a b c (Å): 5.1387 5.1387 5.1387
angles (deg): 128.89 128.89 75.19
Last column: nearest neighbours and their distance in Å.
Element x y z (fractional)
Al (0.0000, 0.0000, 0.0000)  8 Sb 3.01-3.14, 4 Ir 3.01
Sb (0.5000, 0.5000, 0.0000)  4 Sb 3.01, 4 Ir 3.01, 4 Al 3.14
Sb (0.7500, 0.2500, 0.5000)  4 Sb 3.01, 4 Al 3.01, 4 Ir 3.14
Ir (0.2500, 0.7500, 0.5000)  8 Sb 3.01-3.14, 4 Al 3.01

Results
Space-group type = I-4m2 (119)
Raw total energy = -0.3612 Ry/atom
V = 80 Å³/cell
Energy relative to the elements, uncorrected = 1.2 eV/f.u.
Total moment = 0.00 μB per atom

---

5.
Tb6Nd3Ho2: optimized geometry, PBE.

a b c (Å): 17.0024 17.0024 17.0024
angles (deg): 163.86 163.86 22.90
Last column: nearest neighbours and their distance in Å.
Element x y z (fractional)
Tb (0.1200, 0.6200, 0.5000)  6 Tb 3.37-3.42, 2 Ho 3.43, 2 Nd 3.65
Tb (0.1936, 0.1936, 0.0000)  5 Nd 3.39-3.45, 4 Tb 3.42
Tb (0.3800, 0.8800, 0.5000)  6 Tb 3.37-3.42, 2 Ho 3.43, 2 Nd 3.65
Tb (0.6200, 0.1200, 0.5000)  6 Tb 3.37-3.42, 2 Ho 3.43, 2 Nd 3.65
Tb (0.8064, 0.8064, 0.0000)  5 Nd 3.39-3.45, 4 Tb 3.42
Tb (0.8800, 0.3800, 0.5000)  6 Tb 3.37-3.42, 2 Ho 3.43, 2 Nd 3.65
Nd (0.2972, 0.2972, 0.0000)  9 Tb 3.39-3.65
Nd (0.5000, 0.5000, 0.0000)  8 Ho 3.71
Nd (0.7028, 0.7028, 0.0000)  9 Tb 3.39-3.65
Ho (0.0459, 0.0459, 0.0000)  1 Ho 3.06
Ho (0.9541, 0.9541, 0.0000)  1 Ho 3.06

Results
Space-group type = I4/mmm (139)
Raw total energy = -0.3223 Ry/atom
E_form = 0.273 eV per atom
Polymorph energy (0 for the lowest one) = 5.93 kcal/mol of atoms
V = 380 Å³/cell
Total moment = 0.00 μB per atom

---

6.
ZrSc2Co: optimized geometry, PBE.

a b c (Å): 4.7725 4.7725 3.3816
angles (deg): 90.00 90.00 90.00
Last column: nearest neighbours and their distance in Å.
Element x y z (fractional)
Zr (0.0000, 0.0000, 0.0000)  8 Sc 2.92
Sc (0.0000, 0.5000, 0.5000)  4 Zr 2.92, 4 Co 2.92
Sc (0.5000, 0.0000, 0.5000)  4 Zr 2.92, 4 Co 2.92
Co (0.5000, 0.5000, 0.0000)  8 Sc 2.92

Results
Space-group type = P4/mmm (123)
Raw total energy = -0.5097 Ry/atom
E_form = 0.145 eV per atom
Polymorph energy (0 for the lowest one) = 8.26 kcal/mol of atoms
V = 77 Å³/cell
Total moment = 0.04 μB per atom